The following is a DFT calculation (PBE) of Pa2I8Br after structural relaxation.

a b c (Å): 19.140 12.819 6.159
angles (deg): 90.00 108.18 90.00
Space group C2/m (No. 12)
Asymmetric unit:
Pa  0.159  0.000  0.157 (multiplicity 4)
I  0.150  0.000  0.648 (multiplicity 4)
I  0.150  0.226  0.149 (multiplicity 8)
I  0.182  0.500  0.688 (multiplicity 4)
Br  0.000  0.000  0.000 (multiplicity 2)

Total magnetic moment, Bohr magnetons per cell: 2.10
Formation energy from raw total energies, eV per atom: -0.93
ΔE to the lowest computed polymorph, meV/atom: 39



The following is a DFT calculation (PBE) of CaCdOs2 after structural relaxation.

a b c (Å): 3.531 3.531 6.332
angles (deg): 90.00 90.00 90.00
Space group P4/mmm (No. 123)
Asymmetric unit:
Ca  0.000  0.000  0.000 (multiplicity 1)
Cd  0.000  0.000  0.500 (multiplicity 1)
Os  0.500  0.500  0.304 (multiplicity 2)

Total magnetic moment, Bohr magnetons per cell: 1.18
DFT formation energy, eV per atom: 0.92



The following is a DFT calculation (PBE) of Y2MgGa2Pd5 after structural relaxation.

a b c (Å): 9.868 9.868 3.769
angles (deg): 90.00 90.00 90.00
Space group P4/mbm (No. 127)
Asymmetric unit:
Y  0.175  0.325  0.000 (multiplicity 4)
Mg  0.000  0.000  0.000 (multiplicity 2)
Ga  0.123  0.623  0.000 (multiplicity 4)
Pd  0.000  0.500  0.500 (multiplicity 2)
Pd  0.064  0.792  0.500 (multiplicity 8)

Total magnetic moment, Bohr magnetons per cell: 0.00
DFT formation energy, eV per atom: -0.75



The following is a DFT calculation (PBE) of Pm3Sm6HoTh2 after structural relaxation.

a b c (Å): 6.263 10.831 12.020
angles (deg): 90.00 100.01 90.00
Space group C2/m (No. 12)
Asymmetric unit:
Pm  0.000  0.000  0.000 (multiplicity 2)
Pm  0.000  0.333  0.000 (multiplicity 4)
Sm  0.245  0.000  0.745 (multiplicity 4)
Sm  0.250  0.168  0.255 (multiplicity 8)
Ho  0.000  0.500  0.500 (multiplicity 2)
Th  0.000  0.167  0.500 (multiplicity 4)

Total magnetic moment, Bohr magnetons per cell: 0.00
DFT formation energy, eV per atom: 0.03



The following is a DFT calculation (PBE) of FeHg after structural relaxation.

a b c (Å): 3.050 8.407 8.934
angles (deg): 90.00 90.00 90.00
Space group Pmmn (No. 59, origin choice 2)
Asymmetric unit:
Fe  0.250  0.019  0.102 (multiplicity 4)
Fe  0.250  0.750  0.894 (multiplicity 2)
Hg  0.250  0.250  0.839 (multiplicity 2)
Hg  0.250  0.553  0.634 (multiplicity 4)

Total magnetic moment, Bohr magnetons per cell: 15.63
DFT formation energy, eV per atom: 0.34



The following is a DFT calculation (PBE) of DyHo3Hg4 after structural relaxation.

a b c (Å): 14.201 5.283 5.970
angles (deg): 90.00 108.00 90.00
Space group C2/m (No. 12)
Asymmetric unit:
Dy  0.000  0.000  0.000 (multiplicity 2)
Ho  0.000  0.500  0.500 (multiplicity 2)
Ho  0.169  0.500  0.079 (multiplicity 4)
Hg  0.112  0.000  0.647 (multiplicity 4)
Hg  0.240  0.000  0.329 (multiplicity 4)

Total magnetic moment, Bohr magnetons per cell: 0.00
DFT formation energy, eV per atom: -0.28
ΔE to the lowest computed polymorph, meV/atom: 198



The following is a DFT calculation (PBE) of BaAlOs after structural relaxation.

a b c (Å): 7.136 7.136 7.136
angles (deg): 90.00 90.00 90.00
Space group F-43m (No. 216)
Asymmetric unit:
Ba  0.000  0.000  0.000 (multiplicity 4)
Al  0.250  0.250  0.250 (multiplicity 4)
Os  0.250  0.250  0.750 (multiplicity 4)

Total magnetic moment, Bohr magnetons per cell: 4.09
DFT formation energy, eV per atom: 1.79



The following is a DFT calculation (PBE) of MnFe2Se after structural relaxation.

a b c (Å): 5.834 5.834 5.834
angles (deg): 90.00 90.00 90.00
Space group F-43m (No. 216)
Asymmetric unit:
Mn  0.000  0.000  0.000 (multiplicity 4)
Fe  0.000  0.000  0.500 (multiplicity 4)
Fe  0.250  0.250  0.750 (multiplicity 4)
Se  0.250  0.250  0.250 (multiplicity 4)

Total magnetic moment, Bohr magnetons per cell: 25.85
Formation energy from raw total energies, eV per atom: 0.30



The following is a DFT calculation (PBE) of SrCr2Se after structural relaxation.

a b c (Å): 3.639 3.639 6.463
angles (deg): 90.00 90.00 90.00
Space group P4/mmm (No. 123)
Asymmetric unit:
Sr  0.000  0.000  0.000 (multiplicity 1)
Cr  0.500  0.500  0.353 (multiplicity 2)
Se  0.000  0.000  0.500 (multiplicity 1)

Total magnetic moment, Bohr magnetons per cell: 2.67
Formation energy from raw total energies, eV per atom: 0.52



The following is a DFT calculation (PBE) of Tb4Sm7Dy after structural relaxation.

a b c (Å): 6.286 7.258 8.959
angles (deg): 90.00 103.71 90.05
Space group P-1 (No. 2)
Asymmetric unit:
Tb  0.220  0.000  0.166 (multiplicity 2)
Tb  0.279  0.249  0.832 (multiplicity 2)
Sm  0.000  0.000  0.500 (multiplicity 1)
Sm  0.221  0.500  0.166 (multiplicity 2)
Sm  0.280  0.751  0.834 (multiplicity 2)
Sm  0.500  0.249  0.501 (multiplicity 2)
Dy  0.000  0.500  0.500 (multiplicity 1)

Total magnetic moment, Bohr magnetons per cell: 0.00
DFT formation energy, eV per atom: 0.01
ΔE to the lowest computed polymorph, meV/atom: 0



The following is a DFT calculation (PBE) of La3Nd5As8 after structural relaxation.

a b c (Å): 8.6227 8.6227 21.1271
angles (deg): 90.00 90.00 120.00
Space group R-3m (No. 166, hexagonal axes)
Asymmetric unit:
La  0.0000  0.5000  0.0000 (multiplicity 9)
Nd  0.0000  0.0000  0.0000 (multiplicity 3)
Nd  0.0000  0.0000  0.5000 (multiplicity 3)
Nd  0.0000  0.5000  0.5000 (multiplicity 9)
As  0.0000  0.0000  0.2486 (multiplicity 6)
As  0.0018  0.5009  0.7509 (multiplicity 18)

Total magnetic moment, Bohr magnetons per cell: 0.00
DFT formation energy, eV per atom: -1.53



The following is a DFT calculation (PBE) of ZrPd6Au3 after structural relaxation.

a b c (Å): 9.427 5.352 7.503
angles (deg): 90.00 112.03 90.00
Space group C2/m (No. 12)
Asymmetric unit:
Zr  0.000  0.000  0.000 (multiplicity 2)
Pd  0.131  0.000  0.423 (multiplicity 4)
Pd  0.164  0.248  0.814 (multiplicity 8)
Au  0.000  0.500  0.500 (multiplicity 2)
Au  0.095  0.500  0.199 (multiplicity 4)

Total magnetic moment, Bohr magnetons per cell: 0.00
DFT formation energy, eV per atom: -0.17
ΔE to the lowest computed polymorph, meV/atom: 169



The following is a DFT calculation (PBE) of Ta4Co after structural relaxation.

a b c (Å): 9.199 9.199 9.199
angles (deg): 90.00 90.00 90.00
Space group Fd-3m (No. 227, origin choice 2)
Asymmetric unit:
Ta  0.017  0.017  0.233 (multiplicity 32)
Co  0.125  0.125  0.625 (multiplicity 8)

Total magnetic moment, Bohr magnetons per cell: 0.00
DFT formation energy, eV per atom: 1.03
ΔE to the lowest computed polymorph, meV/atom: 297



The following is a DFT calculation (PBE) of TlAgBr2Cl after structural relaxation.

a b c (Å): 5.404 5.404 5.092
angles (deg): 90.00 90.00 90.00
Space group P4/mmm (No. 123)
Asymmetric unit:
Tl  0.000  0.000  0.000 (multiplicity 1)
Ag  0.500  0.500  0.500 (multiplicity 1)
Br  0.000  0.500  0.500 (multiplicity 2)
Cl  0.500  0.500  0.000 (multiplicity 1)

Total magnetic moment, Bohr magnetons per cell: 0.00
Formation energy from raw total energies, eV per atom: -0.52
ΔE to the lowest computed polymorph, meV/atom: 4



The following is a DFT calculation (PBE) of K3Ho3VSe8 after structural relaxation.

a b c (Å): 8.0977 8.0977 23.6039
angles (deg): 90.00 90.00 120.00
Space group R-3m (No. 166, hexagonal axes)
Asymmetric unit:
K  0.0000  0.5000  0.0000 (multiplicity 9)
Ho  0.0000  0.5000  0.5000 (multiplicity 9)
V  0.0000  0.0000  0.5000 (multiplicity 3)
Se  0.0000  0.0000  0.2354 (multiplicity 6)
Se  0.0276  0.5138  0.2300 (multiplicity 18)

Total magnetic moment, Bohr magnetons per cell: 2.98
Formation energy from raw total energies, eV per atom: -1.47



The following is a DFT calculation (PBE) of Pm2GeSb3Rh4 after structural relaxation.

a b c (Å): 4.429 4.429 10.556
angles (deg): 90.00 90.00 90.00
Space group P-4m2 (No. 115)
Asymmetric unit:
Pm  0.000  0.500  0.242 (multiplicity 2)
Ge  0.500  0.500  0.000 (multiplicity 1)
Sb  0.000  0.000  0.000 (multiplicity 1)
Sb  0.000  0.500  0.637 (multiplicity 2)
Rh  0.000  0.000  0.500 (multiplicity 1)
Rh  0.000  0.500  0.880 (multiplicity 2)
Rh  0.500  0.500  0.500 (multiplicity 1)

Total magnetic moment, Bohr magnetons per cell: 0.00
Formation energy from raw total energies, eV per atom: -0.81



The following is a DFT calculation (PBE) of CuRe2Ni2 after structural relaxation.

a b c (Å): 7.215 7.215 2.581
angles (deg): 90.00 90.00 90.00
Space group P4/mbm (No. 127)
Asymmetric unit:
Cu  0.000  0.000  0.000 (multiplicity 2)
Re  0.178  0.322  0.500 (multiplicity 4)
Ni  0.117  0.617  0.000 (multiplicity 4)

Total magnetic moment, Bohr magnetons per cell: 0.00
DFT formation energy, eV per atom: 0.39



The following is a DFT calculation (PBE) of Si4Hg3 after structural relaxation.

a b c (Å): 6.1732 6.1732 4.6446
angles (deg): 90.00 90.00 120.00
Space group P6/mmm (No. 191)
Asymmetric unit:
Si  0.0000  0.0000  0.2487 (multiplicity 2)
Si  0.3333  0.6667  0.0000 (multiplicity 2)
Hg  0.0000  0.5000  0.5000 (multiplicity 3)

Total magnetic moment, Bohr magnetons per cell: 0.00
Formation energy from raw total energies, eV per atom: 0.79
ΔE to the lowest computed polymorph, meV/atom: 508



The following is a DFT calculation (PBE) of PuBC after structural relaxation.

a b c (Å): 2.9184 2.9184 4.3270
angles (deg): 90.00 90.00 120.00
Space group P-6m2 (No. 187)
Asymmetric unit:
Pu  0.0000  0.0000  0.0000 (multiplicity 1)
B  0.6667  0.3333  0.5000 (multiplicity 1)
C  0.3333  0.6667  0.5000 (multiplicity 1)

Total magnetic moment, Bohr magnetons per cell: 4.35
DFT formation energy, eV per atom: -0.22
ΔE to the lowest computed polymorph, meV/atom: 36



The following is a DFT calculation (PBE) of Pr8HgRh3I4 after structural relaxation.

a b c (Å): 8.5980 8.5980 24.4927
angles (deg): 90.00 90.00 120.00
Space group R-3m (No. 166, hexagonal axes)
Asymmetric unit:
Pr  0.0000  0.0000  0.2300 (multiplicity 6)
Pr  0.0210  0.5105  0.7704 (multiplicity 18)
Hg  0.0000  0.0000  0.5000 (multiplicity 3)
Rh  0.0000  0.5000  0.5000 (multiplicity 9)
I  0.0000  0.0000  0.0000 (multiplicity 3)
I  0.0000  0.5000  0.0000 (multiplicity 9)

Total magnetic moment, Bohr magnetons per cell: 0.00
Formation energy from raw total energies, eV per atom: -0.84



The following is a DFT calculation (PBE) of LiIn2Sb after structural relaxation.

a b c (Å): 3.397 4.404 6.650
angles (deg): 90.00 90.00 90.00
Space group Pmm2 (No. 25)
Asymmetric unit:
Li  0.000  0.000  0.000 (multiplicity 1)
In  0.000  0.000  0.476 (multiplicity 1)
In  0.500  0.500  0.723 (multiplicity 1)
Sb  0.500  0.500  0.185 (multiplicity 1)

Total magnetic moment, Bohr magnetons per cell: 0.00
Formation energy from raw total energies, eV per atom: -0.13



The following is a DFT calculation (PBE) of ZrZnNiHg after structural relaxation.

a b c (Å): 6.441 6.441 6.441
angles (deg): 90.00 90.00 90.00
Space group F-43m (No. 216)
Asymmetric unit:
Zr  0.000  0.000  0.000 (multiplicity 4)
Zn  0.250  0.250  0.750 (multiplicity 4)
Ni  0.250  0.250  0.250 (multiplicity 4)
Hg  0.000  0.000  0.500 (multiplicity 4)

Total magnetic moment, Bohr magnetons per cell: 0.00
DFT formation energy, eV per atom: -0.18



The following is a DFT calculation (PBE) of TmNp2UP4 after structural relaxation.

a b c (Å): 6.796 3.954 6.874
angles (deg): 90.00 109.49 90.00
Space group P2/m (No. 10)
Asymmetric unit:
Tm  0.000  0.000  0.000 (multiplicity 1)
Np  0.500  0.000  0.500 (multiplicity 1)
Np  0.500  0.500  0.000 (multiplicity 1)
U  0.000  0.500  0.500 (multiplicity 1)
P  0.249  0.000  0.750 (multiplicity 2)
P  0.250  0.500  0.251 (multiplicity 2)

Total magnetic moment, Bohr magnetons per cell: 9.77
DFT formation energy, eV per atom: -1.08